Ga4IrRu2: optimized geometry, PBE.

a b c (Å): 5.199 5.199 5.199
angles (deg): 108.48 109.97 109.97
Sites, in units of the cell vectors:
Ir 0.000 0.000 0.000
Ru 0.500 0.000 0.500
Ru 0.500 0.500 0.000
Ga 0.000 0.500 0.000
Ga 0.000 0.000 0.500
Ga 0.500 0.000 0.000
Ga 0.500 0.500 0.500

## Properties
E above lowest polymorph: 0.0000 eV per atom

=====

Ga4IrRu: optimized geometry, PBE.

a b c (Å): 7.106 7.106 7.106
angles (deg): 99.49 99.49 132.10
Sites, in units of the cell vectors:
Ga 0.119 0.370 0.251
Ga 0.618 0.369 0.249
Ga 0.630 0.881 0.749
Ga 0.120 0.369 0.751
Ga 0.631 0.880 0.249
Ga 0.132 0.881 0.251
Ga 0.119 0.868 0.749
Ga 0.631 0.382 0.751
Ru 0.750 0.250 0.500
Ru 0.000 0.000 0.000
Ir 0.250 0.750 0.500
Ir 0.500 0.500 0.000

=====

Ga4IrRu3: optimized geometry, PBE.

a b c (Å): 3.032 4.293 8.586
angles (deg): 90.00 90.00 90.00
Sites, in units of the cell vectors:
Ru 0.500 0.000 0.249
Ru 0.500 0.500 0.500
Ru 0.500 0.000 0.751
Ir 0.500 0.500 0.000
Ga 0.000 0.000 0.000
Ga 0.000 0.000 0.500
Ga 0.000 0.500 0.747
Ga 0.000 0.500 0.253

=====

no.,ΔH_f (0 K) (eV/atom),M_tot (μB per formula unit)
1,-0.35,0.0
2,-0.05,0.0
3,-0.35,0.0